Material: Er2MnVO6
Method: DFT, GGA+U
State: relaxed

Computed properties:
Calculated total energy, eV/atom: -8.121
Magnetization, μB per formula unit: 6.00

Lattice parameters (Å, degrees): 5.4647 5.5043 5.7085 61.27 62.00 60.27
Positions (direct):
Er 0.0000 0.0000 0.0000
Er 0.5000 0.4891 0.5073
Mn 0.2802 0.2730 0.1689
V 0.7861 0.7854 0.6393
O 0.0411 0.6753 0.8321
O 0.1472 0.5819 0.3592
O 0.4324 0.0532 0.8397
O 0.5891 0.8975 0.3651
O 0.6613 0.4333 0.8435
O 0.9031 0.1516 0.3526